[1]
# Si3Ru

A relaxed Si3Ru crystal (GGA-PBE, Alexandria).

- Formation energy from raw total energies: 0.075 eV/atom
- DOS at the Fermi energy: 1.731 states/eV/f.u.

Cell: 4.7722 4.7722 4.7722 Å, 90.00 90.00 90.00°
Element x y z (fractional)
Ru 0.5000 0.5000 0.5000
Si 0.7500 0.5000 0.0000
Si 0.0000 0.7500 0.5000
Si 0.5000 0.0000 0.7500
Si 0.5000 0.0000 0.2500
Si 0.2500 0.5000 0.0000
Si 0.0000 0.2500 0.5000
Ru 0.0000 0.0000 0.0000

[2]
# Si3Ru5

A relaxed Si3Ru5 crystal (GGA-PBE, Alexandria).

- Distance to the lowest polymorph of the same formula: 0.047 eV per atom
- Formation energy from raw total energies: -0.409 eV/atom
- DOS at the Fermi energy: 4.671 states/eV/f.u.

Cell: 6.9886 6.9870 7.0452 Å, 97.80 97.75 137.53°
Element x y z (fractional)
Si 0.1111 0.6115 0.8309
Si 0.2685 0.2688 0.9998
Ru 0.6018 0.3094 0.8599
Ru 0.1040 0.2466 0.2910
Si 0.2928 0.1195 0.4980
Ru 0.2379 0.9506 0.1321
Ru 0.2240 0.7240 0.5342
Ru 0.8097 0.1027 0.8598
Si 0.6196 0.7937 0.4980
Ru 0.9425 0.8118 0.7094
Ru 0.7468 0.6050 0.2910
Ru 0.7001 0.2013 0.4826
Si 0.7684 0.7689 0.9999
Si 0.8042 0.3045 0.1713
Ru 0.4497 0.7381 0.1324
Ru 0.3124 0.4436 0.7097

For each record above, in turn, the calculated total magnetic moment values are 0.0, 0.0 μB per formula unit.
For each record above, in turn, the calculated VASP energy values are -6.311, -8.240 eV per atom.